The following is a PBE calculation of crystalline Tl4ZnIn at its relaxed geometry, from Alexandria via LeMat-Bulk.

## Properties
total moment: 0.00 Bohr magnetons per cell
total DFT energy (no corrections): -11.95 eV/cell
ΔE_f: 1.5 eV/f.u.

Structure (extended XYZ):
```
6
Lattice="0.0000 4.5518 4.5518 4.5518 0.0000 4.5518 4.5518 4.5518 0.0000" Properties=species:S:1:pos:R:3 pbc="T T T"
Tl 3.4141 5.6895 5.6895
Tl 5.6895 5.6895 3.4141
Tl 5.6895 3.4141 5.6895
Tl 3.4141 3.4141 3.4141
Zn 6.8277 6.8277 6.8277
In 0.0000 0.0000 0.0000
```



The following is a PBE calculation of crystalline Tl2Zn2In at its relaxed geometry, from Alexandria via LeMat-Bulk.

## Properties
total moment: 0.00 Bohr magnetons per cell
total DFT energy (no corrections): -18.02 eV/cell
ΔE_f: 1.0 eV/f.u.

Structure (extended XYZ):
```
10
Lattice="8.6522 0.0000 0.0000 0.0000 8.6522 0.0000 0.0000 0.0000 3.3671" Properties=species:S:1:pos:R:3 pbc="T T T"
Tl 3.0773 7.4034 0.0000
Tl 7.4034 5.5749 0.0000
Tl 5.5749 1.2488 0.0000
Tl 1.2488 3.0773 0.0000
Zn 1.3371 5.6632 1.6835
Zn 5.6632 7.3151 1.6835
Zn 7.3151 2.9890 1.6835
Zn 2.9890 1.3371 1.6835
In 0.0000 0.0000 0.0000
In 4.3261 4.3261 0.0000
```



The following is a PBE calculation of crystalline Tl2ZnIn8 at its relaxed geometry, from Alexandria via LeMat-Bulk.

## Properties
total moment: 0.00 Bohr magnetons per cell
total DFT energy (no corrections): -27.46 eV/cell
ΔE_f: 0.5 eV/f.u.

Structure (extended XYZ):
```
11
Lattice="-3.4920 -2.8693 1.1553 2.7998 -3.6727 -0.6588 3.8993 0.5940 13.2609" Properties=species:S:1:pos:R:3 pbc="T T T"
Tl 1.2246 0.1866 4.1648
Tl 2.6746 0.4074 9.0961
Zn 0.0000 0.0000 0.0000
In 3.3495 -1.5394 6.3011
In 0.2036 -1.1376 7.2081
In 0.8473 -3.0892 4.3070
In 2.3597 -2.8588 9.4505
In 1.8887 -1.7619 1.3330
In -1.2572 -1.3602 2.2400
In 4.8104 -1.3169 11.2692
In 1.6645 -0.9151 12.1762
```



The following is a PBE calculation of crystalline TlZnIn3 at its relaxed geometry, from Alexandria via LeMat-Bulk.

## Properties
total moment: 0.00 Bohr magnetons per cell
total DFT energy (no corrections): -8.97 eV/cell
ΔE_f: 2.9 eV/f.u.

Structure (extended XYZ):
```
5
Lattice="-4.9669 0.0043 -2.9852 1.3131 -5.2011 -2.1922 -2.6809 -2.5554 4.4569" Properties=species:S:1:pos:R:3 pbc="T T T"
Tl 0.0000 0.0000 0.0000
Zn -3.1674 -3.8761 -0.3603
In 0.6565 -2.6005 -1.0961
In -1.3405 -1.2777 2.2285
In -2.4834 0.0022 -1.4926
```



The following is a PBE calculation of crystalline TlZnIn at its relaxed geometry, from Alexandria via LeMat-Bulk.

## Properties
total moment: 0.00 Bohr magnetons per cell
total DFT energy (no corrections): -12.09 eV/cell
ΔE_f: 0.3 eV/f.u.

Structure (extended XYZ):
```
6
Lattice="3.3819 -0.0409 -0.0270 1.8378 3.0989 -0.0015 -3.7542 -0.0078 14.4715" Properties=species:S:1:pos:R:3 pbc="T T T"
Zn 2.4766 2.0784 0.9456
Zn 2.4960 2.0682 5.1738
Tl -1.0534 0.1175 7.4928
Tl -1.1442 1.9780 10.5019
In -1.4296 0.0780 13.2957
In 2.3368 0.0823 3.0410
```



The following is a PBE calculation of crystalline Tl2Zn2In at its relaxed geometry, from Alexandria via LeMat-Bulk.

## Properties
total moment: 0.00 Bohr magnetons per cell
total DFT energy (no corrections): -9.04 eV/cell
ΔE_f: 1.0 eV/f.u.

Structure (extended XYZ):
```
5
Lattice="4.6455 0.0000 0.0000 0.0000 4.6455 0.0000 2.3227 2.3227 6.0004" Properties=species:S:1:pos:R:3 pbc="T T T"
Tl 4.6455 2.3227 3.0002
Tl 2.3227 4.6455 3.0002
Zn 2.3227 2.3227 1.2118
Zn 4.6455 4.6455 4.7885
In 0.0000 0.0000 0.0000
```